# 1
# ScMn2Cd

A relaxed ScMn2Cd crystal (PBE-GGA, Alexandria).

Results
DOS(E_F)	0.949	states/eV/atom
E_form	18	kJ per mole of atoms
spin magnetization	5.86	μB/cell

The structure in POSCAR format:
```
ScMn2Cd
1.0
3.0297 0.0000 0.0000
0.0000 3.9001 0.0000
0.0000 0.0000 5.9321
Cd Mn Sc
1 2 1
Direct
0.5000 0.5000 0.7500 Cd
0.0000 0.0000 0.0110 Mn
0.0000 0.0000 0.4890 Mn
0.5000 0.5000 0.2500 Sc
```

***

# 2
# ScTaMn2Cd

A relaxed ScTaMn2Cd crystal (PBE-GGA, Alexandria).

Results
DOS(E_F)	1.974	states/eV/atom
E_form	161	kJ per mole of atoms
spin magnetization	0.29	μB/cell

The structure in POSCAR format:
```
ScTaMn2Cd
1.0
4.2573 0.0000 0.0000
0.0000 4.9495 0.0000
0.0000 0.0000 4.2573
Ta Cd Mn Sc
1 1 2 1
Direct
0.5000 0.5000 0.5000 Ta
0.0000 0.5000 0.0000 Cd
0.0000 0.0000 0.5000 Mn
0.5000 0.0000 0.0000 Mn
0.0000 0.0000 0.0000 Sc
```

***

# 3
# TmScMnCd

A relaxed TmScMnCd crystal (PBE-GGA, Alexandria).

Results
DOS(E_F)	1.453	states/eV/atom
E_form	-1	kJ per mole of atoms
spin magnetization	2.94	μB/cell

The structure in POSCAR format:
```
TmScMnCd
1.0
-3.8920 3.1103 0.0680
-2.5459 0.8968 -4.1880
-4.6223 -1.7814 -0.5354
Mn Sc Tm Cd
1 1 1 1
Direct
0.2500 0.2500 0.2500 Mn
0.5000 0.5000 0.5000 Sc
0.0000 0.0000 0.0000 Tm
0.7500 0.7500 0.7500 Cd
```

***

# 4
# YScMnCd

A relaxed YScMnCd crystal (PBE-GGA, Alexandria).

Results
DOS(E_F)	1.451	states/eV/atom
E_form	-1	kJ per mole of atoms
spin magnetization	2.92	μB/cell

The structure in POSCAR format:
```
YScMnCd
1.0
5.0305 0.0000 0.0000
2.5152 4.3565 0.0000
2.5152 1.4522 4.1074
Cd Sc Mn Y
1 1 1 1
Direct
0.5000 0.5000 0.5000 Cd
0.2500 0.2500 0.2500 Sc
0.0000 0.0000 0.0000 Mn
0.7500 0.7500 0.7500 Y
```

***

- spin magnetization of number 1 (ScMn2Cd)?
  5.86 μB/cell

***

- Which formula does entry 3 have?
  TmScMnCd

***

- Which value of DOS(E_F) does entry 3 give?
  1.453 states/eV/atom